[1]
Below is a PBEsol-optimized structure of AlAu5, with properties calculated at the SCAN level.

Cell lengths 4.638, 4.969, 4.969 Å; angles 120.00, 90.00, 90.00 degrees
Fractional coordinates of all 6 atoms:
Au (0.000, 0.324, 0.324)
Au (0.500, 0.333, 0.667)
Al (0.500, 0.000, 0.000)
Au (0.500, 0.667, 0.333)
Au (0.000, 0.000, 0.676)
Au (0.000, 0.676, 0.000)

Computed properties:
SG: P-62m (189)
ΔE to the lowest computed polymorph (eV/atom): 0.012



[2]
Below is a PBEsol-optimized structure of AlAu2, with properties calculated at the SCAN level.

Cell lengths 3.277, 5.264, 6.450 Å; angles 109.35, 90.00, 108.13 degrees
Fractional coordinates of all 6 atoms:
Al (0.825, 0.650, 0.854)
Au (0.145, 0.290, 0.534)
Au (0.446, 0.892, 0.176)
Au (0.855, 0.710, 0.466)
Au (0.554, 0.108, 0.824)
Al (0.175, 0.350, 0.146)

Computed properties:
SG: C2/m (12)



[3]
Below is a PBEsol-optimized structure of Al2Au, with properties calculated at the SCAN level.

Cell lengths 4.240, 4.240, 4.240 Å; angles 60.00, 60.00, 60.00 degrees
Fractional coordinates of all 3 atoms:
Al (0.250, 0.250, 0.250)
Au (0.000, 0.000, 0.000)
Al (0.750, 0.750, 0.750)

Computed properties:
SG: Fm-3m (225)



[4]
Below is a PBEsol-optimized structure of AlAu2, with properties calculated at the SCAN level.

Cell lengths 8.248, 8.248, 8.248 Å; angles 60.00, 60.00, 60.00 degrees
Fractional coordinates of all 24 atoms:
Au (0.570, 0.930, 0.930)
Al (0.910, 0.910, 0.910)
Au (0.320, 0.680, 0.680)
Au (0.570, 0.570, 0.930)
Au (0.125, 0.125, 0.125)
Au (0.125, 0.625, 0.125)
Au (0.680, 0.680, 0.320)
Au (0.625, 0.125, 0.125)
Al (0.910, 0.910, 0.269)
Al (0.340, 0.981, 0.340)
Au (0.570, 0.930, 0.570)
Al (0.340, 0.340, 0.981)
Al (0.910, 0.269, 0.910)
Au (0.125, 0.125, 0.625)
Au (0.930, 0.570, 0.930)
Al (0.340, 0.340, 0.340)
Au (0.320, 0.320, 0.680)
Au (0.680, 0.320, 0.680)
Au (0.320, 0.680, 0.320)
Au (0.930, 0.930, 0.570)
Au (0.930, 0.570, 0.570)
Al (0.981, 0.340, 0.340)
Al (0.269, 0.910, 0.910)
Au (0.680, 0.320, 0.320)

Computed properties:
SG: Fd-3m (227)



[5]
Below is a PBEsol-optimized structure of Al2Au, with properties calculated at the SCAN level.

Cell lengths 5.131, 5.131, 5.131 Å; angles 106.04, 106.04, 116.58 degrees
Fractional coordinates of all 6 atoms:
Au (0.750, 0.750, 0.000)
Al (0.650, 0.850, 0.500)
Al (0.850, 0.350, 0.200)
Al (0.150, 0.650, 0.800)
Au (0.250, 0.250, 0.000)
Al (0.350, 0.150, 0.500)

Computed properties:
SG: I4/mcm (140)



[6]
Below is a PBEsol-optimized structure of AlAu2, with properties calculated at the SCAN level.

Cell lengths 3.271, 8.813, 16.754 Å; angles 90.00, 90.00, 90.00 degrees
Fractional coordinates of all 30 atoms:
Au (0.500, 0.156, 0.487)
Au (0.500, 0.832, 0.289)
Au (0.500, 0.143, 0.312)
Al (0.000, 0.982, 0.799)
Al (0.000, 0.975, 0.401)
Au (0.000, 0.638, 0.605)
Au (0.000, 0.656, 0.013)
Al (0.500, 0.500, 0.500)
Al (0.500, 0.518, 0.299)
Al (0.000, 0.018, 0.201)
Au (0.000, 0.327, 0.596)
Au (0.500, 0.844, 0.513)
Al (0.000, 0.000, 0.000)
Al (0.500, 0.525, 0.901)
Au (0.000, 0.344, 0.987)
Au (0.500, 0.857, 0.688)
Au (0.000, 0.332, 0.211)
Al (0.500, 0.475, 0.099)
Au (0.000, 0.668, 0.789)
Au (0.000, 0.643, 0.188)
Al (0.000, 0.025, 0.599)
Au (0.500, 0.827, 0.904)
Au (0.500, 0.862, 0.105)
Au (0.500, 0.168, 0.711)
Au (0.500, 0.173, 0.096)
Au (0.500, 0.138, 0.895)
Au (0.000, 0.357, 0.812)
Au (0.000, 0.362, 0.395)
Au (0.000, 0.673, 0.404)
Al (0.500, 0.482, 0.701)

Computed properties:
SG: Pnnm (58)



no.,energy of formation (kcal/mol of atoms)
1,-4.73
2,-9.97
3,-16.15
4,-7.78
5,-8.86
6,-11.01